5
Lattice="5.5283 0.0000 0.0000 0.0000 5.5283 0.0000 0.0000 0.0000 5.5283" Properties=species:S:1:pos:R:3 comment="RbY3Be | the Alexandria database | PBE | relaxed" e_tot_ev_per_atom=-4.330 dos_at_fermi_per_ev_cell=5.644 ef_ev_per_atom=0.487 space_group="No. 221" de_polymorph_mev_per_atom=0 pbc="T T T"
Y 0.0000 2.7642 0.0000
Y 0.0000 0.0000 2.7642
Y 2.7642 0.0000 0.0000
Be 0.0000 0.0000 0.0000
Rb 2.7642 2.7642 2.7642